! SrReW | Alexandria | GGA-PBE | optimized geometry; values from VASP
&SYSTEM
  ibrav = 0, nat = 12, ntyp = 3
/
ATOMIC_SPECIES
Sr 87.62 Sr.upf
Re 186.21 Re.upf
W 183.84 W.upf
CELL_PARAMETERS angstrom
6.6628 0.0000 0.0000
0.0000 6.6628 0.0000
0.0000 0.0000 6.6628
ATOMIC_POSITIONS crystal
Sr 0.0000 0.0000 0.0000
Sr 0.0000 0.5000 0.5000
Sr 0.5000 0.0000 0.5000
Sr 0.5000 0.5000 0.0000
Re 0.2500 0.2500 0.7500
Re 0.2500 0.7500 0.2500
Re 0.7500 0.2500 0.2500
Re 0.7500 0.7500 0.7500
W 0.2500 0.2500 0.2500
W 0.2500 0.7500 0.7500
W 0.7500 0.2500 0.7500
W 0.7500 0.7500 0.2500
! E_form   3.036 eV/atom
! Electronic total energy   -5.992 eV per atom
! Polymorph energy (0 for the lowest one)   2.348 eV/atom